Material: InSnHg3Se4
Method: DFT, PBE
State: relaxed

Cell: 6.436 8.589 9.799 Å, 90.00 107.87 90.00°
Fractional coordinates of all 18 atoms:
1 Hg 0.711 0.058 0.986
2 Hg 0.711 0.442 0.986
3 Se 0.323 0.443 0.613
4 Se 0.323 0.057 0.613
5 In 0.106 0.250 0.400
6 Hg 0.750 0.250 0.702
7 Hg 0.289 0.942 0.014
8 Sn 0.225 0.250 0.814
9 Se 0.677 0.557 0.387
10 Se 0.897 0.750 0.866
11 Se 0.677 0.943 0.387
12 Se 0.103 0.250 0.134
13 Sn 0.775 0.750 0.186
14 Se 0.689 0.250 0.385
15 Se 0.311 0.750 0.615
16 In 0.894 0.750 0.600
17 Hg 0.289 0.558 0.014
18 Hg 0.250 0.750 0.298

Calculated values
density	7.4	g cm⁻³
VASP energy	-0.09224	Ha/atom
offset from the most stable computed form	0.0	meV per atom